# NaSrSnS3 PBE relaxed
# Energy relative to the elements, uncorrected (eV/atom): -1.025
# Magnetic moment (μB per formula unit): 0.00
# Total energy (Ry/atom): -0.31283
data_NaSrSnS3
_chemical_formula_sum 'Na2 Sr2 Sn2 S6'
_cell_length_a 7.541
_cell_length_b 4.297
_cell_length_c 9.957
_cell_angle_alpha 90.00
_cell_angle_beta 109.98
_cell_angle_gamma 90.00
_space_group_name_H-M_alt 'P 1 21/m 1'
_space_group_IT_number 11
_space_group_name_Hall '-P 2yb'
loop_
_atom_site_label
_atom_site_fract_x
_atom_site_fract_y
_atom_site_fract_z
Na1 0.138 0.250 0.116
Sr1 0.339 0.250 0.811
Sn1 0.270 0.750 0.414
S1 0.077 0.250 0.436
S2 0.257 0.750 0.987
S3 0.500 0.250 0.338